Run a
Density functional theory data (PBE+U) for a geometry-optimized LiMnAsO4 structure.

abc: 5.9847 5.9847 5.9847
angles: 120.47 117.90 91.43
Last column: nearest neighbours and their distance in Å.
Positions (direct):
1 Li 0.5000 0.0000 0.0000  6 O 2.10-2.22
2 Li 0.5000 0.5000 0.5000  6 O 2.10-2.22
3 Mn 0.0000 0.0000 0.0000  6 O 2.18-2.19
4 Mn 0.5000 0.0000 0.5000  6 O 2.18-2.19
5 As 0.1249 0.3749 0.7500  4 O 1.73-1.75
6 As 0.8751 0.6251 0.2500  4 O 1.73-1.75
7 O 0.2225 0.7400 0.4825  1 As 1.73
8 O 0.2425 0.2600 0.9825  1 As 1.73
9 O 0.2486 0.2605 0.5118  1 As 1.75
10 O 0.2486 0.7368 0.9882  1 As 1.75
11 O 0.7514 0.2632 0.0118  1 As 1.75
12 O 0.7514 0.7395 0.4882  1 As 1.75
13 O 0.7575 0.7400 0.0175  1 As 1.73
14 O 0.7775 0.2600 0.5175  1 As 1.73

Calculated values
Spin magnetization: 0.714 μB per atom
SG: Imma, No. 74

Run b
Density functional theory data (PBE+U) for a geometry-optimized LiMnAsO4 structure.

abc: 10.9075 6.2425 4.9986
angles: 90.00 90.00 90.00
Last column: nearest neighbours and their distance in Å.
Positions (direct):
1 Li 0.0000 0.0000 0.0000  6 O 2.19-2.27
2 Li 0.0000 0.5000 0.0000  6 O 2.19-2.27
3 Li 0.5000 0.0000 0.5000  6 O 2.19-2.27
4 Li 0.5000 0.5000 0.5000  6 O 2.19-2.27
5 Mn 0.2233 0.2500 0.4872  6 O 2.17-2.31
6 Mn 0.2767 0.7500 0.9872  6 O 2.17-2.31
7 Mn 0.7233 0.2500 0.0128  6 O 2.17-2.31
8 Mn 0.7767 0.7500 0.5128  6 O 2.17-2.31
9 As 0.0906 0.7500 0.4268  4 O 1.71-1.74
10 As 0.4094 0.2500 0.9268  4 O 1.71-1.74
11 As 0.5906 0.7500 0.0732  4 O 1.71-1.74
12 As 0.9094 0.2500 0.5732  4 O 1.71-1.74
13 O 0.0534 0.2500 0.7157  1 As 1.73
14 O 0.0941 0.7500 0.7686  1 As 1.71
15 O 0.1648 0.5351 0.2749  1 As 1.74
16 O 0.1648 0.9649 0.2749  1 As 1.74
17 O 0.3352 0.0351 0.7749  1 As 1.74
18 O 0.3352 0.4649 0.7749  1 As 1.74
19 O 0.4059 0.2500 0.2686  1 As 1.71
20 O 0.4466 0.7500 0.2157  1 As 1.73
21 O 0.5534 0.2500 0.7843  1 As 1.73
22 O 0.5941 0.7500 0.7314  1 As 1.71
23 O 0.6648 0.5351 0.2251  1 As 1.74
24 O 0.6648 0.9649 0.2251  1 As 1.74
25 O 0.8352 0.0351 0.7251  1 As 1.74
26 O 0.8352 0.4649 0.7251  1 As 1.74
27 O 0.9059 0.2500 0.2314  1 As 1.71
28 O 0.9466 0.7500 0.2843  1 As 1.73

Calculated values
Spin magnetization: 0.714 μB per atom
SG: Pnma, No. 62
D(E_F): 0.0000 states/eV/atom

Ranked by calculated energy, most stable first: run b, run a.